The following is a DFT calculation (PBEsol) of an optimized crystal structure of CaSb2AuI.

```
CaSb2AuI
1.0
5.5590 0.0000 0.0000
0.0000 5.7215 0.0000
0.0000 0.0000 5.7215
I Sb Ca Au
1 2 1 1
Direct
0.5000 0.0000 0.0000 I
0.0000 0.0000 0.5000 Sb
0.0000 0.5000 0.0000 Sb
0.0000 0.0000 0.0000 Ca
0.5000 0.5000 0.5000 Au
```

Formation energy from raw total energies in eV/atom: 0.68
Space group: P4/mmm (123)
Density in g/cm3: 5.5



The following is a DFT calculation (PBEsol) of an optimized crystal structure of NiIr2W.

```
NiIr2W
1.0
-1.8932 1.4162 -1.3556
-2.0845 0.1324 3.0495
2.4127 4.6124 1.4489
Ni Ir W
1 2 1
Direct
0.5000 0.5000 0.0000 Ni
0.0000 0.0000 0.7607 Ir
0.0000 0.0000 0.2393 Ir
0.5000 0.5000 0.5000 W
```

Energy above the lowest structure with this stoichiometry in meV/atom: 50
Formation energy from the elements in meV per atom: -199
Space group: Pmmm (47)
Density in g/cm3: 19.1



The following is a DFT calculation (PBEsol) of an optimized crystal structure of LiMgSc2.

```
LiMgSc2
1.0
-0.4341 1.2328 2.8802
0.8559 -2.7533 1.3003
8.5208 2.7079 0.1252
Sc Mg Li
2 1 1
Direct
0.0000 0.0000 0.0008 Sc
0.5000 0.5000 0.7488 Sc
0.5000 0.5000 0.2608 Mg
0.0000 0.0000 0.4896 Li
```

Formation energy from the elements in meV per atom: 44
Space group: Cmm2 (35)
Density in g/cm3: 2.2



The following is a DFT calculation (PBEsol) of an optimized crystal structure of LaTaSi2.

```
LaTaSi2
1.0
-0.5215 0.9498 2.9941
-3.5332 -0.1961 -0.5532
0.0360 -6.3355 2.0161
La Si Ta
1 2 1
Direct
0.5000 0.5000 0.5000 La
0.0000 0.0000 0.8135 Si
0.0000 0.0000 0.1865 Si
0.5000 0.5000 0.0000 Ta
```

Energy above the lowest structure with this stoichiometry in meV/atom: 0
Formation energy from raw total energies in eV/atom: -0.41
Space group: Pmmm (47)
Density in g/cm3: 8.2



The following is a DFT calculation (PBEsol) of an optimized crystal structure of Na4ZrMo4O16.

```
Na4ZrMo4O16
1.0
9.7192 0.0382 -0.0639
-3.4466 9.0877 0.0639
3.4466 4.3497 7.9793
Na Zr Mo O
8 2 8 32
Direct
0.3389 0.9488 0.1639 Na
0.6611 0.4972 0.3901 Na
0.6127 0.8599 0.3012 Na
0.8873 0.3901 0.9488 Na
0.1611 0.3012 0.0861 Na
0.3873 0.0861 0.7528 Na
0.1127 0.1639 0.4972 Na
0.8389 0.7528 0.8599 Na
0.5000 0.7500 0.7500 Zr
0.0000 0.5000 0.5000 Zr
0.0957 0.6626 0.0730 Mo
0.5957 0.4187 0.8169 Mo
0.4043 0.5874 0.1770 Mo
0.2355 0.8169 0.5874 Mo
0.9043 0.8313 0.4331 Mo
0.2645 0.4331 0.6626 Mo
0.7645 0.1770 0.4187 Mo
0.7355 0.0730 0.8313 Mo
0.5297 0.6119 0.2686 O
0.0921 0.6008 0.6463 O
0.5921 0.9885 0.7586 O
0.3805 0.3322 0.6381 O
0.6042 0.2245 0.4691 O
0.5551 0.7137 0.9547 O
0.3316 0.8414 0.7137 O
0.8958 0.0255 0.7809 O
0.4449 0.4902 0.8414 O
0.9449 0.5363 0.2953 O
0.3958 0.9267 0.3797 O
0.8064 0.7809 0.3233 O
0.6936 0.4691 0.9267 O
0.7471 0.7586 0.6492 O
0.1195 0.9178 0.6119 O
0.0297 0.0483 0.3322 O
0.2471 0.6463 0.2615 O
0.1042 0.3233 0.8703 O
0.4703 0.2017 0.9178 O
0.7529 0.4914 0.6008 O
0.1684 0.4086 0.5363 O
0.9703 0.6381 0.9814 O
0.0551 0.7598 0.4086 O
0.8805 0.2686 0.2017 O
0.6195 0.9814 0.0483 O
0.4079 0.6492 0.6037 O
0.9079 0.2615 0.4914 O
0.6684 0.9547 0.4902 O
0.1936 0.8703 0.0255 O
0.3064 0.3797 0.2245 O
0.2529 0.6037 0.9885 O
0.8316 0.2953 0.7598 O
```

Formation energy from raw total energies in eV/atom: -2.23
Space group: I4_1/a (88)
Density in g/cm3: 3.9



The following is a DFT calculation (PBEsol) of an optimized crystal structure of BaMg3Hg.

```
BaMg3Hg
1.0
5.3226 0.0000 0.0000
0.0000 5.3226 0.0000
0.0000 0.0000 5.3226
Mg Hg Ba
3 1 1
Direct
0.0000 0.5000 0.0000 Mg
0.0000 0.0000 0.5000 Mg
0.5000 0.0000 0.0000 Mg
0.0000 0.0000 0.0000 Hg
0.5000 0.5000 0.5000 Ba
```

Formation energy from the elements in meV per atom: -100
Space group: Pm-3m (221)
Density in g/cm3: 4.5



The following is a DFT calculation (PBEsol) of an optimized crystal structure of HfBe2Mo2.

```
HfBe2Mo2
1.0
3.2418 0.0000 0.0000
0.0000 6.3849 0.0000
0.0000 0.0000 6.3849
Be Mo Hf
4 4 2
Direct
0.0000 0.3869 0.8869 Be
0.0000 0.8869 0.6131 Be
0.0000 0.6131 0.1131 Be
0.0000 0.1131 0.3869 Be
0.5000 0.1755 0.6755 Mo
0.5000 0.6755 0.8245 Mo
0.5000 0.8245 0.3245 Mo
0.5000 0.3245 0.1755 Mo
0.0000 0.0000 0.0000 Hf
0.0000 0.5000 0.5000 Hf
```

Formation energy from the elements in meV per atom: -147
Space group: P4/mbm (127)
Density in g/cm3: 9.8



The following is a DFT calculation (PBEsol) of an optimized crystal structure of Be2PdO.

```
Be2PdO
1.0
-4.5462 1.4219 0.8009
2.6736 -1.4772 3.7417
3.2880 3.3056 -1.2619
Be Pd O
4 2 2
Direct
0.1138 0.8750 0.4888 Be
0.8862 0.3750 0.7612 Be
0.3862 0.5112 0.6250 Be
0.6138 0.2388 0.1250 Be
0.0000 0.0000 0.0000 Pd
0.5000 0.7500 0.2500 Pd
0.0000 0.5000 0.5000 O
0.5000 0.2500 0.7500 O
```

Formation energy from raw total energies in eV/atom: -1.10
Space group: I-42d (122)
Density in g/cm3: 5.8



The following is a DFT calculation (PBEsol) of an optimized crystal structure of YFeNi4.

```
YFeNi4
1.0
-3.0961 1.6819 1.6240
-2.8125 -3.6237 -1.6090
2.1158 -0.3197 4.3648
Y Fe Ni
1 1 4
Direct
0.0000 0.3333 0.6667 Y
0.0000 0.0000 0.0000 Fe
0.0000 0.6667 0.3333 Ni
0.5000 0.3340 0.1670 Ni
0.5000 0.8330 0.6660 Ni
0.5000 0.8330 0.1670 Ni
```

Formation energy from the elements in meV per atom: -235
Space group: P-6m2 (187)
Density in g/cm3: 7.9



The following is a DFT calculation (PBEsol) of an optimized crystal structure of K2AgH2.

```
K2AgH2
1.0
-2.0352 3.2278 3.9351
-3.7761 -3.4107 -2.9729
-2.0218 -4.4021 2.5651
H K Ag
2 2 1
Direct
0.8114 0.6228 0.1886 H
0.1886 0.3772 0.8114 H
0.7500 0.5000 0.7500 K
0.2500 0.5000 0.2500 K
0.0000 0.0000 0.0000 Ag
```

Energy above the lowest structure with this stoichiometry in meV/atom: 0
Space group: I4/mmm (139)
Density in g/cm3: 2.3



The following is a DFT calculation (PBEsol) of an optimized crystal structure of K2GaRuF.

```
K2GaRuF
1.0
-3.8210 -2.5172 0.5165
2.8044 -3.3458 4.4413
-2.0526 4.0000 4.3094
Ru K Ga F
1 2 1 1
Direct
0.5000 0.0000 0.0000 Ru
0.0000 0.0000 0.5000 K
0.0000 0.5000 0.0000 K
0.0000 0.0000 0.0000 Ga
0.5000 0.5000 0.5000 F
```

Formation energy from raw total energies in eV/atom: 0.18
Space group: P4/mmm (123)
Density in g/cm3: 2.5



The following is a DFT calculation (PBEsol) of an optimized crystal structure of SrYRh2.

```
SrYRh2
1.0
-3.1253 0.6720 -1.2224
1.0564 -0.8184 -3.1508
-1.8894 -6.7503 1.1200
Y Sr Rh
1 1 2
Direct
0.5000 0.5000 0.5000 Y
0.5000 0.5000 0.0000 Sr
0.0000 0.0000 0.7174 Rh
0.0000 0.0000 0.2826 Rh
```

Formation energy from the elements in meV per atom: -425
Space group: P4/mmm (123)
Density in g/cm3: 7.6



The following is a DFT calculation (PBEsol) of an optimized crystal structure of CrTe3S.

```
CrTe3S
1.0
-2.2859 2.2279 4.0614
-4.0184 -3.2068 -0.5027
2.3045 -3.3819 3.1522
Cr S Te
1 1 3
Direct
0.5000 0.5000 0.5000 Cr
0.0000 0.0000 0.0000 S
0.0000 0.5000 0.0000 Te
0.0000 0.0000 0.5000 Te
0.5000 0.0000 0.0000 Te
```

Formation energy from raw total energies in eV/atom: 0.76
Space group: Pm-3m (221)
Density in g/cm3: 5.6



The following is a DFT calculation (PBEsol) of an optimized crystal structure of SiHO2.

```
SiHO2
1.0
2.6917 0.0000 0.0000
1.3459 2.3311 0.0000
1.3459 0.7770 7.5678
H Si O
1 1 2
Direct
0.0000 0.0000 0.0000 H
0.5000 0.5000 0.5000 Si
0.8734 0.8734 0.3799 O
0.1266 0.1266 0.6201 O
```

Energy in Ha/atom: -0.2280
Space group: R-3m (166)
Density in g/cm3: 2.1



The following is a DFT calculation (PBEsol) of an optimized crystal structure of Li4Ti9O20.

```
Li4Ti9O20
1.0
-2.6527 -7.0597 3.7400
2.3567 -8.5492 -4.9922
6.6585 -4.0560 6.5405
Li Ti O
8 18 40
Direct
0.5346 0.1664 0.4254 Li
0.4511 0.9254 0.3336 Li
0.7100 0.0746 0.6664 Li
0.6236 0.6664 0.9254 Li
0.1264 0.8336 0.5746 Li
0.0400 0.4254 0.8336 Li
0.2989 0.5746 0.1664 Li
0.2154 0.3336 0.0746 Li
0.7603 0.0330 0.1634 Ti
0.0763 0.1634 0.9670 Ti
0.5433 0.6634 0.4670 Ti
0.5000 0.0000 0.0000 Ti
0.9567 0.9670 0.8366 Ti
0.7453 0.5577 0.1635 Ti
0.2835 0.0577 0.6635 Ti
0.0912 0.1635 0.4423 Ti
0.0530 0.6635 0.9423 Ti
0.6970 0.8365 0.5577 Ti
0.6588 0.3365 0.0577 Ti
0.0047 0.9423 0.3365 Ti
0.4665 0.4423 0.8365 Ti
0.7933 0.5330 0.6634 Ti
0.2500 0.5000 0.5000 Ti
0.6737 0.3366 0.5330 Ti
0.2067 0.8366 0.0330 Ti
0.9897 0.4670 0.3366 Ti
0.5288 0.0212 0.6388 O
0.6230 0.2272 0.2213 O
0.7456 0.9610 0.3443 O
0.4567 0.8443 0.5390 O
0.5577 0.0085 0.1509 O
0.8409 0.1421 0.9647 O
0.6002 0.7213 0.2728 O
0.1557 0.2213 0.7728 O
0.9477 0.8579 0.0353 O
0.4338 0.8491 0.0085 O
0.4586 0.3491 0.5085 O
0.7330 0.4647 0.3579 O
0.1944 0.9647 0.8579 O
0.7171 0.9915 0.8491 O
0.8399 0.1557 0.4610 O
0.0509 0.0390 0.6557 O
0.3000 0.1388 0.4788 O
0.8324 0.6388 0.9788 O
0.5611 0.5212 0.1388 O
0.0716 0.7728 0.7787 O
0.6784 0.7272 0.7213 O
0.1889 0.9788 0.3612 O
0.9176 0.8612 0.5212 O
0.4500 0.3612 0.0212 O
0.6991 0.4610 0.8443 O
0.9101 0.3443 0.0390 O
0.0329 0.5085 0.6509 O
0.0170 0.0353 0.1421 O
0.5556 0.5353 0.6421 O
0.2914 0.1509 0.9915 O
0.3162 0.6509 0.4915 O
0.8023 0.6421 0.4647 O
0.1498 0.7787 0.2272 O
0.5943 0.2787 0.7272 O
0.9091 0.3579 0.5353 O
0.1923 0.4915 0.3491 O
0.2933 0.6557 0.9610 O
0.0044 0.5390 0.1557 O
0.1270 0.2728 0.2787 O
0.2212 0.4788 0.8612 O
```

Formation energy from raw total energies in eV/atom: -2.88
Space group: I4_1/a (88)
Density in g/cm3: 3.6



The following is a DFT calculation (PBEsol) of an optimized crystal structure of AgWAu2.

```
AgWAu2
1.0
2.7206 0.0000 0.0000
0.0000 4.9731 0.0239
0.0000 -0.9827 4.8751
Au Ag W
2 1 1
Direct
0.0000 0.5000 0.0000 Au
0.0000 0.0000 0.5000 Au
0.5000 0.5000 0.5000 Ag
0.5000 0.0000 0.0000 W
```

Energy above the lowest structure with this stoichiometry in meV/atom: 0
Formation energy from the elements in meV per atom: 335
Space group: Cmmm (65)
Density in g/cm3: 17.2



The following is a DFT calculation (PBEsol) of an optimized crystal structure of ZrInSb2.

```
ZrInSb2
1.0
-2.4111 3.7624 -0.0004
-1.8097 -1.1593 3.9179
5.5581 0.9082 0.2876
In Sb Zr
1 2 1
Direct
0.0000 0.0000 0.0000 In
0.7500 0.2500 0.5000 Sb
0.2500 0.7500 0.5000 Sb
0.5000 0.5000 0.0000 Zr
```

Formation energy from raw total energies in eV/atom: -0.15
Space group: I4/mmm (139)
Density in g/cm3: 8.0



The following is a DFT calculation (PBEsol) of an optimized crystal structure of YCr2Ir.

```
YCr2Ir
1.0
2.9735 0.0000 0.0000
0.0000 4.4893 0.0000
0.0000 0.0000 4.4893
Cr Ir Y
2 1 1
Direct
0.0000 0.0000 0.5000 Cr
0.0000 0.5000 0.0000 Cr
0.5000 0.5000 0.5000 Ir
0.5000 0.0000 0.0000 Y
```

Energy above the lowest structure with this stoichiometry in meV/atom: 213
Formation energy from the elements in meV per atom: 437
Space group: P4/mmm (123)
Density in g/cm3: 10.7



The following is a DFT calculation (PBEsol) of an optimized crystal structure of LiHgNF2.

```
LiHgNF2
1.0
-1.3674 0.4268 -3.3083
-1.0965 -3.4343 0.0101
-3.7151 1.1911 1.6893
N Li Hg F
1 1 1 2
Direct
0.0000 0.0000 0.5000 N
0.0000 0.0000 0.0000 Li
0.5000 0.5000 0.5000 Hg
0.0000 0.5000 0.0000 F
0.5000 0.0000 0.0000 F
```

Formation energy from raw total energies in eV/atom: -0.51
Space group: P4/mmm (123)
Density in g/cm3: 7.8



The following is a DFT calculation (PBEsol) of an optimized crystal structure of TbNi2Sb2.

```
TbNi2Sb2
1.0
-0.7566 -2.7855 3.2935
3.9577 0.8815 1.6548
-3.8262 7.2762 5.2749
Tb Ni Sb
2 4 4
Direct
0.0000 0.5000 0.2364 Tb
0.5000 0.0000 0.7636 Tb
0.0000 0.0000 0.0000 Ni
0.5000 0.5000 0.0000 Ni
0.0000 0.5000 0.6257 Ni
0.5000 0.0000 0.3743 Ni
0.0000 0.0000 0.5000 Sb
0.5000 0.5000 0.5000 Sb
0.0000 0.5000 0.8741 Sb
0.5000 0.0000 0.1259 Sb
```

Formation energy from raw total energies in eV/atom: -0.62
Space group: P4/nmm (129)
Density in g/cm3: 9.2